LaErTh2 | PBE-GGA | optimized geometry

Unit cell a=5.048 b=5.048 c=5.136 alpha=90.00 beta=90.00 gamma=90.00
Space group P4/mmm (No. 123)
Symmetry-distinct sites (fractional):
1 La 0.000 0.000 0.000 x1
2 Er 0.500 0.500 0.000 x1
3 Th 0.000 0.500 0.500 x2

Energy relative to the elements (eV per atom): 0.068